DFT (PBE-GGA) results for a relaxed structure of TiBe9Al2.

Results
Formation enthalpy at 0 K   -0.118 eV per atom
Space-group type   R-3m, No. 166
DOS at the Fermi energy   3.6 states/eV/cell

a b c (Å): 7.4249 7.4249 7.4249
angles (deg): 34.57 34.57 34.57
Fractional coordinates of all 12 atoms:
Ti (0.0000, 0.0000, 0.0000)
Be (0.0832, 0.5809, 0.5809)
Be (0.3318, 0.3318, 0.3318)
Be (0.4191, 0.4191, 0.9168)
Be (0.4191, 0.9168, 0.4191)
Be (0.5000, 0.5000, 0.5000)
Be (0.5809, 0.0832, 0.5809)
Be (0.5809, 0.5809, 0.0832)
Be (0.6682, 0.6682, 0.6682)
Be (0.9168, 0.4191, 0.4191)
Al (0.1388, 0.1388, 0.1388)
Al (0.8612, 0.8612, 0.8612)

---

DFT (PBE-GGA) results for a relaxed structure of TiBeAl3.

Results
Relative energy among the computed polymorphs   835 meV/atom
Formation enthalpy at 0 K   1.272 eV per atom
Space-group type   Pm-3m, No. 221
DOS at the Fermi energy   4.5 states/eV/cell

a b c (Å): 4.9347 4.9347 4.9347
angles (deg): 90.00 90.00 90.00
Fractional coordinates of all 5 atoms:
Ti (0.0000, 0.0000, 0.0000)
Be (0.5000, 0.5000, 0.5000)
Al (0.0000, 0.0000, 0.5000)
Al (0.0000, 0.5000, 0.0000)
Al (0.5000, 0.0000, 0.0000)

---

DFT (PBE-GGA) results for a relaxed structure of Ti5BeAl.

Results
Formation enthalpy at 0 K   -0.006 eV per atom
Space-group type   C2/c, No. 15
DOS at the Fermi energy   14.8 states/eV/cell

a b c (Å): 4.8533 4.8533 9.7509
angles (deg): 100.54 100.54 89.61
Fractional coordinates of all 14 atoms:
Ti (0.0147, 0.9853, 0.7500)
Ti (0.0857, 0.4569, 0.6305)
Ti (0.2177, 0.5089, 0.9384)
Ti (0.4569, 0.0857, 0.1305)
Ti (0.4911, 0.7823, 0.5616)
Ti (0.5089, 0.2177, 0.4384)
Ti (0.5431, 0.9143, 0.8695)
Ti (0.7823, 0.4911, 0.0616)
Ti (0.9143, 0.5431, 0.3695)
Ti (0.9853, 0.0147, 0.2500)
Be (0.0000, 0.0000, 0.0000)
Be (0.0000, 0.0000, 0.5000)
Al (0.3784, 0.6216, 0.2500)
Al (0.6216, 0.3784, 0.7500)

---

DFT (PBE-GGA) results for a relaxed structure of Ti4Be2Al.

Results
Formation enthalpy at 0 K   0.240 eV per atom
Space-group type   R-3m, No. 166
DOS at the Fermi energy   7.5 states/eV/cell

a b c (Å): 7.9143 7.9143 7.9143
angles (deg): 30.27 30.27 30.27
Fractional coordinates of all 7 atoms:
Ti (0.1111, 0.1111, 0.1111)
Ti (0.2954, 0.2954, 0.2954)
Ti (0.7046, 0.7046, 0.7046)
Ti (0.8889, 0.8889, 0.8889)
Be (0.4022, 0.4022, 0.4022)
Be (0.5978, 0.5978, 0.5978)
Al (0.5000, 0.5000, 0.5000)

---

DFT (PBE-GGA) results for a relaxed structure of TiBeAl3.

Results
Relative energy among the computed polymorphs   0 meV/atom
Formation enthalpy at 0 K   0.437 eV per atom
Space-group type   Pm-3m, No. 221
DOS at the Fermi energy   3.4 states/eV/cell

a b c (Å): 4.3207 4.3207 4.3207
angles (deg): 90.00 90.00 90.00
Fractional coordinates of all 5 atoms:
Ti (0.0000, 0.0000, 0.0000)
Be (0.5000, 0.5000, 0.5000)
Al (0.0000, 0.5000, 0.5000)
Al (0.5000, 0.0000, 0.5000)
Al (0.5000, 0.5000, 0.0000)

---

DFT (PBE-GGA) results for a relaxed structure of Ti6BeAl3.

Results
Formation enthalpy at 0 K   -0.240 eV per atom
Space-group type   P2_1/m, No. 11
DOS at the Fermi energy   17.0 states/eV/cell

a b c (Å): 7.6571 4.5061 9.7346
angles (deg): 90.00 110.00 90.00
Fractional coordinates of all 20 atoms:
Ti (0.0463, 0.2500, 0.4222)
Ti (0.1771, 0.7500, 0.1775)
Ti (0.2681, 0.2500, 0.0170)
Ti (0.3519, 0.7500, 0.7993)
Ti (0.3535, 0.2500, 0.3273)
Ti (0.4312, 0.2500, 0.6348)
Ti (0.5688, 0.7500, 0.3652)
Ti (0.6465, 0.7500, 0.6727)
Ti (0.6481, 0.2500, 0.2007)
Ti (0.7319, 0.7500, 0.9830)
Ti (0.8229, 0.2500, 0.8225)
Ti (0.9537, 0.7500, 0.5778)
Be (0.4625, 0.7500, 0.0860)
Be (0.5375, 0.2500, 0.9140)
Al (0.0364, 0.7500, 0.8773)
Al (0.1214, 0.2500, 0.7225)
Al (0.2705, 0.7500, 0.4778)
Al (0.7295, 0.2500, 0.5222)
Al (0.8786, 0.7500, 0.2775)
Al (0.9636, 0.2500, 0.1227)

---

DFT (PBE-GGA) results for a relaxed structure of TiBe3Al.

Results
Relative energy among the computed polymorphs   0 meV/atom
Formation enthalpy at 0 K   0.892 eV per atom
Space-group type   Pm-3m, No. 221
DOS at the Fermi energy   1.5 states/eV/cell

a b c (Å): 4.1183 4.1183 4.1183
angles (deg): 90.00 90.00 90.00
Fractional coordinates of all 5 atoms:
Ti (0.0000, 0.0000, 0.0000)
Be (0.0000, 0.5000, 0.5000)
Be (0.5000, 0.0000, 0.5000)
Be (0.5000, 0.5000, 0.0000)
Al (0.5000, 0.5000, 0.5000)

---

DFT (PBE-GGA) results for a relaxed structure of Ti2Be15Al2.

Results
Formation enthalpy at 0 K   -0.137 eV per atom
Space-group type   R-3m, No. 166
DOS at the Fermi energy   4.3 states/eV/cell

a b c (Å): 5.7252 5.7252 5.7252
angles (deg): 82.90 82.90 82.90
Fractional coordinates of all 19 atoms:
Ti (0.1521, 0.1521, 0.1521)
Ti (0.8479, 0.8479, 0.8479)
Be (0.0000, 0.5000, 0.5000)
Be (0.1496, 0.1496, 0.6704)
Be (0.1496, 0.6704, 0.1496)
Be (0.1940, 0.5000, 0.8060)
Be (0.1940, 0.8060, 0.5000)
Be (0.3296, 0.8504, 0.8504)
Be (0.5000, 0.0000, 0.5000)
Be (0.5000, 0.1940, 0.8060)
Be (0.5000, 0.5000, 0.0000)
Be (0.5000, 0.8060, 0.1940)
Be (0.6704, 0.1496, 0.1496)
Be (0.8060, 0.1940, 0.5000)
Be (0.8060, 0.5000, 0.1940)
Be (0.8504, 0.3296, 0.8504)
Be (0.8504, 0.8504, 0.3296)
Al (0.3910, 0.3910, 0.3910)
Al (0.6090, 0.6090, 0.6090)

---

DFT (PBE-GGA) results for a relaxed structure of TiBe17Al.

Results
Formation enthalpy at 0 K   -0.080 eV per atom
Space-group type   R3m, No. 160
DOS at the Fermi energy   3.9 states/eV/cell

a b c (Å): 5.5573 5.5573 5.5573
angles (deg): 82.80 82.80 82.80
Fractional coordinates of all 19 atoms:
Ti (0.0000, 0.0000, 0.0000)
Be (0.0052, 0.0052, 0.5057)
Be (0.0052, 0.5057, 0.0052)
Be (0.1594, 0.6711, 0.6711)
Be (0.3167, 0.3167, 0.8246)
Be (0.3167, 0.8246, 0.3167)
Be (0.3654, 0.6612, 0.9620)
Be (0.3654, 0.9620, 0.6612)
Be (0.5057, 0.0052, 0.0052)
Be (0.5623, 0.5623, 0.5623)
Be (0.6612, 0.3654, 0.9620)
Be (0.6612, 0.9620, 0.3654)
Be (0.6711, 0.1594, 0.6711)
Be (0.6711, 0.6711, 0.1594)
Be (0.7641, 0.7641, 0.7641)
Be (0.8246, 0.3167, 0.3167)
Be (0.9620, 0.3654, 0.6612)
Be (0.9620, 0.6612, 0.3654)
Al (0.2986, 0.2986, 0.2986)

---

DFT (PBE-GGA) results for a relaxed structure of Ti2BeAl.

Results
Relative energy among the computed polymorphs   77 meV/atom
Formation enthalpy at 0 K   -0.154 eV per atom
Space-group type   Fm-3m, No. 225
DOS at the Fermi energy   17.2 states/eV/cell

a b c (Å): 6.1574 6.1574 6.1574
angles (deg): 90.00 90.00 90.00
Fractional coordinates of all 16 atoms:
Ti (0.2500, 0.2500, 0.2500)
Ti (0.2500, 0.2500, 0.7500)
Ti (0.2500, 0.7500, 0.2500)
Ti (0.2500, 0.7500, 0.7500)
Ti (0.7500, 0.2500, 0.2500)
Ti (0.7500, 0.2500, 0.7500)
Ti (0.7500, 0.7500, 0.2500)
Ti (0.7500, 0.7500, 0.7500)
Be (0.0000, 0.0000, 0.0000)
Be (0.0000, 0.5000, 0.5000)
Be (0.5000, 0.0000, 0.5000)
Be (0.5000, 0.5000, 0.0000)
Al (0.0000, 0.0000, 0.5000)
Al (0.0000, 0.5000, 0.0000)
Al (0.5000, 0.0000, 0.0000)
Al (0.5000, 0.5000, 0.5000)

---

DFT (PBE-GGA) results for a relaxed structure of Ti6BeAl.

Results
Formation enthalpy at 0 K   -0.134 eV per atom
Space-group type   P4/mmm, No. 123
DOS at the Fermi energy   9.5 states/eV/cell

a b c (Å): 3.9887 3.9887 7.9270
angles (deg): 90.00 90.00 90.00
Fractional coordinates of all 8 atoms:
Ti (0.0000, 0.0000, 0.0000)
Ti (0.0000, 0.0000, 0.5000)
Ti (0.0000, 0.5000, 0.2414)
Ti (0.0000, 0.5000, 0.7586)
Ti (0.5000, 0.0000, 0.2414)
Ti (0.5000, 0.0000, 0.7586)
Be (0.5000, 0.5000, 0.0000)
Al (0.5000, 0.5000, 0.5000)

---

DFT (PBE-GGA) results for a relaxed structure of Ti3BeAl.

Results
Relative energy among the computed polymorphs   306 meV/atom
Formation enthalpy at 0 K   0.144 eV per atom
Space-group type   Pm-3m, No. 221
DOS at the Fermi energy   5.7 states/eV/cell

a b c (Å): 4.3725 4.3725 4.3725
angles (deg): 90.00 90.00 90.00
Fractional coordinates of all 5 atoms:
Ti (0.0000, 0.0000, 0.5000)
Ti (0.0000, 0.5000, 0.0000)
Ti (0.5000, 0.0000, 0.0000)
Be (0.0000, 0.0000, 0.0000)
Al (0.5000, 0.5000, 0.5000)